10
Lattice="4.119 0.000 0.000 0.000 4.119 0.000 0.000 0.000 9.653" Properties=species:S:1:pos:R:3 comment="Np2CuNi3Ge4 PBE relaxed" sg="P-4m2, No. 115" e_form_ev_per_atom=-0.32 pbc="T T T"
Np 0.000 2.059 2.407
Np 2.059 0.000 7.246
Cu 2.059 2.059 0.000
Ni 0.000 0.000 0.000
Ni 0.000 2.059 6.011
Ni 2.059 0.000 3.642
Ge 0.000 0.000 4.826
Ge 0.000 2.059 8.337
Ge 2.059 0.000 1.316
Ge 2.059 2.059 4.826



4
Lattice="0.000 3.575 3.575 3.575 0.000 3.575 3.575 3.575 0.000" Properties=species:S:1:pos:R:3 comment="HoThGaRh PBE relaxed" sg="F-43m, No. 216" e_form_ev_per_atom=-0.58 pbc="T T T"
Ho 0.000 0.000 0.000
Th 3.575 3.575 3.575
Ga 1.788 1.788 1.788
Rh 5.363 5.363 5.363